[1]
DFT (PBEsol) results for crystalline SbCF2 at its relaxed geometry.

a = 4.103 Å, b = 4.103 Å, c = 4.103 Å
α = 60.00°, β = 60.00°, γ = 60.00°
Atoms (fractional coordinates):
F 0.750 0.750 0.750
Sb 0.500 0.500 0.500
C 0.000 0.000 0.000
F 0.250 0.250 0.250

Computed properties:
**Final energy**: -16.3 eV/cell
**Formation energy without anion corrections**: 42.5 kJ per mole of atoms
**Crystal system**: cubic
**Magnetization**: 2.25 μB/f.u.

[2]
DFT (PBEsol) results for crystalline Be2SiBr at its relaxed geometry.

a = 5.295 Å, b = 5.295 Å, c = 6.343 Å
α = 114.67°, β = 114.67°, γ = 90.00°
Atoms (fractional coordinates):
Be 0.625 0.606 0.750
Be 0.856 0.375 0.250
Be 0.125 0.144 0.750
Br 0.250 0.750 0.500
Br 0.000 0.000 0.000
Be 0.394 0.875 0.250
Si 0.500 0.500 0.000
Si 0.750 0.250 0.500

Computed properties:
**Final energy**: -28.6 eV/cell
**Formation energy without anion corrections**: 31.5 kJ per mole of atoms
**Crystal system**: tetragonal
**Magnetization**: 0.24 μB/f.u.

[3]
DFT (PBEsol) results for crystalline SbWAu2 at its relaxed geometry.

a = 2.798 Å, b = 4.620 Å, c = 6.935 Å
α = 109.46°, β = 101.64°, γ = 90.00°
Atoms (fractional coordinates):
Au 0.944 0.944 0.888
W 0.264 0.764 0.529
Au 0.725 0.225 0.450
Sb 0.566 0.566 0.133

Computed properties:
**Final energy**: -24.3 eV/cell
**Formation energy without anion corrections**: 45.4 kJ per mole of atoms
**Crystal system**: orthorhombic
**Magnetization**: 0.00 μB/f.u.

magnetization of number 3 (SbWAu2)?
0.00 μB/f.u.